# 1
VASP calculation (PBE-GGA) on an optimized crystal structure of YSiW2.

Cell lengths 3.377, 3.377, 6.468 Å; angles 90.00, 90.00, 90.00 degrees
Fractional positions:
Y  0.000  0.000  0.000
Si  0.000  0.000  0.500
W  0.500  0.500  0.314
W  0.500  0.500  0.686

# 2
VASP calculation (PBE-GGA) on an optimized crystal structure of YSi2W2.

Excess energy over the best structure of this formula in the dataset in meV/atom: 0

Cell lengths 7.290, 7.290, 3.175 Å; angles 90.00, 90.00, 90.00 degrees
Fractional positions:
Y  0.000  0.000  0.000
Y  0.500  0.500  0.000
Si  0.136  0.364  0.000
Si  0.364  0.864  0.000
Si  0.636  0.136  0.000
Si  0.864  0.636  0.000
W  0.146  0.646  0.500
W  0.354  0.146  0.500
W  0.646  0.854  0.500
W  0.854  0.354  0.500

# 3
VASP calculation (PBE-GGA) on an optimized crystal structure of YSiW3.

Excess energy over the best structure of this formula in the dataset in meV/atom: 0

Cell lengths 4.622, 4.622, 4.622 Å; angles 90.00, 90.00, 90.00 degrees
Fractional positions:
Y  0.000  0.000  0.000
Si  0.500  0.500  0.500
W  0.000  0.500  0.500
W  0.500  0.000  0.500
W  0.500  0.500  0.000

# 4
VASP calculation (PBE-GGA) on an optimized crystal structure of YSiW2.

Cell lengths 5.670, 9.629, 2.881 Å; angles 90.00, 115.28, 90.00 degrees
Fractional positions:
Y  0.000  0.000  0.000
Y  0.500  0.500  0.000
Si  0.000  0.500  0.000
Si  0.500  0.000  0.000
W  0.250  0.250  0.500
W  0.250  0.750  0.500
W  0.750  0.250  0.500
W  0.750  0.750  0.500

# 5
VASP calculation (PBE-GGA) on an optimized crystal structure of YSiW3.

Excess energy over the best structure of this formula in the dataset in meV/atom: 2376

Cell lengths 4.822, 4.822, 4.822 Å; angles 90.00, 90.00, 90.00 degrees
Fractional positions:
Y  0.000  0.000  0.000
Si  0.500  0.500  0.500
W  0.000  0.000  0.500
W  0.000  0.500  0.000
W  0.500  0.000  0.000

# 6
VASP calculation (PBE-GGA) on an optimized crystal structure of YSiW2.

Cell lengths 3.952, 3.952, 4.582 Å; angles 90.00, 90.00, 90.00 degrees
Fractional positions:
Y  0.000  0.000  0.000
Si  0.500  0.500  0.000
W  0.000  0.500  0.500
W  0.500  0.000  0.500

# 7
VASP calculation (PBE-GGA) on an optimized crystal structure of YSiW2.

Cell lengths 3.024, 4.820, 5.058 Å; angles 90.00, 93.10, 90.00 degrees
Fractional positions:
Y  0.000  0.000  0.000
Si  0.500  0.000  0.500
W  0.363  0.500  0.737
W  0.637  0.500  0.263

# 8
VASP calculation (PBE-GGA) on an optimized crystal structure of YSiW2.

Cell lengths 3.410, 4.723, 9.074 Å; angles 90.00, 90.00, 90.00 degrees
Fractional positions:
Y  0.000  0.000  0.000
Y  0.500  0.500  0.500
Si  0.000  0.500  0.777
Si  0.500  0.000  0.277
W  0.000  0.000  0.511
W  0.000  0.500  0.229
W  0.500  0.000  0.729
W  0.500  0.500  0.011

no.,N(E_F) (states/eV per cell),uncorrected formation energy (kJ/mol of formula units),raw total energy (eV per atom)
1,2.338,64,-9.284
2,9.194,-57,-8.761
3,4.567,427,-9.265
4,6.052,170,-9.009
5,6.019,1573,-6.889
6,2.738,130,-9.113
7,2.980,139,-9.087
8,4.765,125,-9.124